PBE-GGA Th4Bi2AuSe, relaxed; E_form (uncorrected) = -818 meV/atom; space group = No. 10; total energy = -6.343 eV/atom; crystal system = monoclinic; magnetic moment = 0.0 μB per formula unit
1.0
4.364 0.000 0.000
0.000 7.872 -0.246
0.000 2.683 7.125
Th Bi Au Se
4 2 1 1
Direct
0.000 0.723 0.760
0.000 0.277 0.240
0.500 0.723 0.266
0.500 0.277 0.734
0.000 0.000 0.000
0.500 0.000 0.500
0.000 0.500 0.500
0.500 0.500 0.000

---

PBE-GGA CaNpCuSe3, relaxed; E_form (uncorrected) = -1165 meV/atom; space group = No. 11; total energy = -6.080 eV/atom; crystal system = monoclinic; magnetic moment = 4.0 μB per formula unit
1.0
-0.068 -4.009 0.038
3.367 0.016 7.683
-8.794 0.166 1.743
Ca Np Cu Se
2 2 2 6
Direct
0.250 0.184 0.239
0.750 0.816 0.761
0.250 0.673 0.166
0.750 0.327 0.834
0.250 0.080 0.581
0.750 0.920 0.419
0.750 0.913 0.141
0.250 0.087 0.859
0.250 0.771 0.493
0.750 0.229 0.507
0.750 0.424 0.166
0.250 0.576 0.834

---

PBE-GGA Y2HoBi, relaxed; ΔE_f = -0.36 eV/atom; space group = No. 123; ΔE to the lowest computed polymorph = 0.048 eV per atom; total energy = -5.709 eV/atom; crystal system = tetragonal; magnetic moment = 0.0 μB per formula unit
1.0
4.163 0.000 0.000
0.000 4.163 0.000
0.000 0.000 6.947
Y Bi Ho
2 1 1
Direct
0.000 0.000 0.739
0.000 0.000 0.261
0.500 0.500 0.500
0.500 0.500 0.000